Entry from Alexandria: Tc2MoAu after structural relaxation (PBE).

Lattice parameters (Å, degrees): 9.388 9.388 9.388 17.19 17.19 17.19
Sites, in units of the cell vectors:
Tc1 0.246 0.246 0.246
Tc2 0.754 0.754 0.754
Mo1 0.500 0.500 0.500
Au1 0.000 0.000 0.000

Properties
ΔE to the lowest computed polymorph	88	meV per atom
formation energy from the elements	97	kJ/mol of formula units
DOS(E_F)	4.914	states/eV per cell

Entry from Alexandria: TcMo2Au after structural relaxation (PBE).

Lattice parameters (Å, degrees): 3.964 3.964 4.000 90.00 90.00 90.00
Sites, in units of the cell vectors:
Tc1 0.000 0.000 0.000
Mo1 0.000 0.500 0.500
Mo2 0.500 0.000 0.500
Au1 0.500 0.500 0.000

Properties
ΔE to the lowest computed polymorph	0	meV per atom
formation energy from the elements	56	kJ/mol of formula units
DOS(E_F)	3.703	states/eV per cell

Entry from Alexandria: TcMoAu after structural relaxation (PBE).

Lattice parameters (Å, degrees): 4.550 4.550 2.689 90.00 90.00 120.00
Sites, in units of the cell vectors:
Tc1 0.000 0.000 0.000
Mo1 0.333 0.667 0.795
Au1 0.667 0.333 0.399

Properties
ΔE to the lowest computed polymorph	45	meV per atom
formation energy from the elements	79	kJ/mol of formula units
DOS(E_F)	1.217	states/eV per cell

Entry from Alexandria: TcMoAu2 after structural relaxation (PBE).

Lattice parameters (Å, degrees): 3.317 3.317 6.083 90.00 90.00 90.00
Sites, in units of the cell vectors:
Tc1 0.000 0.000 0.000
Mo1 0.500 0.500 0.806
Au1 0.000 0.000 0.532
Au2 0.500 0.500 0.273

Properties
ΔE to the lowest computed polymorph	39	meV per atom
formation energy from the elements	89	kJ/mol of formula units
DOS(E_F)	4.372	states/eV per cell

Entry from Alexandria: Tc2Mo2Au after structural relaxation (PBE).

Lattice parameters (Å, degrees): 7.419 7.419 2.963 90.00 90.00 90.00
Sites, in units of the cell vectors:
Tc1 0.140 0.360 0.000
Tc2 0.360 0.860 0.000
Tc3 0.640 0.140 0.000
Tc4 0.860 0.640 0.000
Mo1 0.157 0.657 0.500
Mo2 0.343 0.157 0.500
Mo3 0.657 0.843 0.500
Mo4 0.843 0.343 0.500
Au1 0.000 0.000 0.000
Au2 0.500 0.500 0.000

Properties
formation energy from the elements	120	kJ/mol of formula units
DOS(E_F)	6.599	states/eV per cell

Entry from Alexandria: Tc2MoAu after structural relaxation (PBE).

Lattice parameters (Å, degrees): 2.720 2.720 9.034 90.00 90.00 108.13
Sites, in units of the cell vectors:
Tc1 0.000 0.000 0.234
Tc2 0.000 0.000 0.766
Mo1 0.500 0.500 0.000
Au1 0.500 0.500 0.500

Properties
ΔE to the lowest computed polymorph	97	meV per atom
formation energy from the elements	100	kJ/mol of formula units
DOS(E_F)	3.920	states/eV per cell